A relaxed structure of Zr2NbAuC, computed with PBE-GGA.

Spin magnetization = 0.0701 μB/atom
Raw total energy = -8.377 eV/atom
Space-group type = No. 123

abc: 4.5559 4.5559 4.2734
angles: 90.00 90.00 90.00
Element x y z (fractional)
Zr 0.0000 0.5000 0.0000
Zr 0.5000 0.0000 0.0000
Nb 0.0000 0.0000 0.5000
Au 0.5000 0.5000 0.5000
C 0.0000 0.0000 0.0000

A relaxed structure of NdAuC, computed with PBE-GGA.

Spin magnetization = 0.0000 μB/atom
Raw total energy = -6.110 eV/atom
Space-group type = No. 12

abc: 4.7696 4.7696 7.0775
angles: 102.48 102.48 48.86
Element x y z (fractional)
Nd 0.1165 0.1165 0.3048
Nd 0.8835 0.8835 0.6952
Au 0.3616 0.3616 0.0558
Au 0.6384 0.6384 0.9442
C 0.4230 0.4230 0.4540
C 0.5770 0.5770 0.5460

A relaxed structure of Nd3AuC, computed with PBE-GGA.

Spin magnetization = 0.0000 μB/atom
Relative energy among the computed polymorphs = 0 meV/atom
Space-group type = No. 62

abc: 8.9553 3.8081 14.7100
angles: 90.00 90.00 90.00
Element x y z (fractional)
Nd 0.0131 0.2500 0.1026
Nd 0.1762 0.2500 0.5226
Nd 0.1954 0.7500 0.3071
Nd 0.3046 0.2500 0.8071
Nd 0.3238 0.7500 0.0226
Nd 0.4869 0.7500 0.6026
Nd 0.5131 0.2500 0.3974
Nd 0.6762 0.2500 0.9774
Nd 0.6954 0.7500 0.1929
Nd 0.8046 0.2500 0.6929
Nd 0.8238 0.7500 0.4774
Nd 0.9869 0.7500 0.8974
Au 0.0943 0.7500 0.6829
Au 0.4057 0.2500 0.1829
Au 0.5943 0.7500 0.8171
Au 0.9057 0.2500 0.3171
C 0.1598 0.2500 0.9509
C 0.3402 0.7500 0.4509
C 0.6598 0.2500 0.5491
C 0.8402 0.7500 0.0491

A relaxed structure of Nd3AuC, computed with PBE-GGA.

Spin magnetization = 0.0000 μB/atom
Relative energy among the computed polymorphs = 153 meV/atom
Space-group type = No. 221

abc: 5.0541 5.0541 5.0541
angles: 90.00 90.00 90.00
Element x y z (fractional)
Nd 0.0000 0.0000 0.5000
Nd 0.0000 0.5000 0.0000
Nd 0.5000 0.0000 0.0000
Au 0.5000 0.5000 0.5000
C 0.0000 0.0000 0.0000

A relaxed structure of Nd2NiAuC, computed with PBE-GGA.

Spin magnetization = 0.0000 μB/atom
Raw total energy = -6.013 eV/atom
Space-group type = No. 123

abc: 5.2541 5.2541 3.6770
angles: 90.00 90.00 90.00
Element x y z (fractional)
Nd 0.0000 0.5000 0.0000
Nd 0.5000 0.0000 0.0000
Ni 0.0000 0.0000 0.5000
Au 0.5000 0.5000 0.5000
C 0.0000 0.0000 0.0000

A relaxed structure of Nd2RuAuC, computed with PBE-GGA.

Spin magnetization = 0.0000 μB/atom
Raw total energy = -6.707 eV/atom
Space-group type = No. 123

abc: 5.2267 5.2267 3.8972
angles: 90.00 90.00 90.00
Element x y z (fractional)
Nd 0.0000 0.5000 0.0000
Nd 0.5000 0.0000 0.0000
Ru 0.0000 0.0000 0.5000
Au 0.5000 0.5000 0.5000
C 0.0000 0.0000 0.0000

A relaxed structure of NiAuC3, computed with PBE-GGA.

Spin magnetization = 0.0000 μB/atom
Relative energy among the computed polymorphs = 0 meV/atom
Space-group type = No. 221

abc: 3.8170 3.8170 3.8170
angles: 90.00 90.00 90.00
Element x y z (fractional)
Ni 0.0000 0.0000 0.0000
Au 0.5000 0.5000 0.5000
C 0.0000 0.0000 0.5000
C 0.0000 0.5000 0.0000
C 0.5000 0.0000 0.0000

A relaxed structure of Ni2AuC, computed with PBE-GGA.

Spin magnetization = 0.0000 μB/atom
Raw total energy = -5.611 eV/atom
Space-group type = No. 122

abc: 5.0368 5.0368 5.0368
angles: 107.05 107.05 114.44
Element x y z (fractional)
Ni 0.0116 0.6250 0.8866
Ni 0.3750 0.2616 0.3866
Ni 0.7384 0.1250 0.1134
Ni 0.8750 0.9884 0.6134
Au 0.2500 0.7500 0.5000
Au 0.5000 0.5000 0.0000
C 0.0000 0.0000 0.0000
C 0.7500 0.2500 0.5000

A relaxed structure of NiAuC3, computed with PBE-GGA.

Spin magnetization = 0.0000 μB/atom
Relative energy among the computed polymorphs = 913 meV/atom
Space-group type = No. 221

abc: 4.0756 4.0756 4.0756
angles: 90.00 90.00 90.00
Element x y z (fractional)
Ni 0.0000 0.0000 0.0000
Au 0.5000 0.5000 0.5000
C 0.0000 0.5000 0.5000
C 0.5000 0.0000 0.5000
C 0.5000 0.5000 0.0000